DFT (PBE-GGA) results for a relaxed MgTlBiTe2 crystal.

Summary:
Crystal system: tetragonal
SG: P4/mmm (123)
Total DFT energy (no corrections) (eV per formula unit): -11.71
Total moment (Bohr magnetons per cell): 0.0
Raw formation energy (eV per atom): 0.4828

a b c (Å): 5.903 5.161 5.903
angles (deg): 90.00 90.00 90.00
Fractional positions:
Mg: 0.000 0.500 0.000
Bi: 0.500 0.500 0.500
Te: 0.500 0.000 0.000
Te: 0.000 0.000 0.500
Tl: 0.000 0.000 0.000